Record 1
Below is Ba2TlAs after structural relaxation, with properties calculated at the GGA-PBE level.

Output
ΔH_f (0 K): -0.702 eV per atom
Electronic total energy: -13.7 eV per cell
N(E_F): 2.1 states/eV per cell

CIF file:
```
data_Ba2TlAs
_chemical_formula_sum 'Ba2 Tl1 As1'
_symmetry_space_group_name_H-M 'P 4/m m m'
_symmetry_Int_Tables_number 123
_symmetry_space_group_name_Hall '-P 4 2'
_cell_length_a 4.232
_cell_length_b 4.232
_cell_length_c 7.997
_cell_angle_alpha 90.00
_cell_angle_beta 90.00
_cell_angle_gamma 90.00
loop_
_atom_site_label
_atom_site_fract_x
_atom_site_fract_y
_atom_site_fract_z
Ba1 0.000 0.000 0.214
Tl1 0.500 0.500 0.500
As1 0.500 0.500 0.000
```

=====

Record 2
Below is BaCa2Ag2 after structural relaxation, with properties calculated at the GGA-PBE level.

Output
ΔH_f (0 K): -0.223 eV per atom
Electronic total energy: -51.0 eV per cell
N(E_F): 15.4 states/eV per cell

CIF file:
```
data_BaCa2Ag2
_chemical_formula_sum 'Ba4 Ca8 Ag8'
_symmetry_space_group_name_H-M 'C m c 21'
_symmetry_Int_Tables_number 36
_cell_length_a 4.597
_cell_length_b 15.113
_cell_length_c 9.823
_cell_angle_alpha 90.00
_cell_angle_beta 90.00
_cell_angle_gamma 90.00
loop_
_symmetry_equiv_pos_as_xyz
'x,y,z'
'-x,-y,z+1/2'
'-x,y,z'
'x,-y,z+1/2'
'x+1/2,y+1/2,z'
'-x+1/2,-y+1/2,z+1/2'
'-x+1/2,y+1/2,z'
'x+1/2,-y+1/2,z+1/2'
loop_
_atom_site_label
_atom_site_fract_x
_atom_site_fract_y
_atom_site_fract_z
Ba1 0.000 0.093 0.000
Ca1 0.000 0.188 0.620
Ca2 0.000 0.386 0.853
Ag1 0.000 0.258 0.318
Ag2 0.000 0.441 0.183
```

=====

Record 3
Below is YMo3As after structural relaxation, with properties calculated at the GGA-PBE level.

Output
ΔH_f (0 K): 0.667 eV per atom
Electronic total energy: -40.3 eV per cell
N(E_F): 7.2 states/eV per cell

CIF file:
```
data_YMo3As
_chemical_formula_sum 'Y1 Mo3 As1'
_symmetry_space_group_name_H-M 'P m -3 m'
_symmetry_Int_Tables_number 221
_symmetry_space_group_name_Hall '-P 4 2 3'
_cell_length_a 4.704
_cell_length_b 4.704
_cell_length_c 4.704
_cell_angle_alpha 90.00
_cell_angle_beta 90.00
_cell_angle_gamma 90.00
loop_
_atom_site_label
_atom_site_fract_x
_atom_site_fract_y
_atom_site_fract_z
Y1 0.000 0.000 0.000
Mo1 0.000 0.500 0.500
As1 0.500 0.500 0.500
```

=====

Record 4
Below is Nd5C2Se2 after structural relaxation, with properties calculated at the GGA-PBE level.

Output
Electronic total energy: -220.3 eV per cell
E_form (uncorrected): -646 meV/atom
N(E_F): 25.3 states/eV per cell

CIF file:
```
data_Nd5C2Se2
_chemical_formula_sum 'Nd20 C8 Se8'
_symmetry_space_group_name_H-M 'C m c e'
_symmetry_Int_Tables_number 64
_symmetry_space_group_name_Hall '-C 2ac 2'
_cell_length_a 14.759
_cell_length_b 7.507
_cell_length_c 7.495
_cell_angle_alpha 90.00
_cell_angle_beta 90.00
_cell_angle_gamma 90.00
loop_
_atom_site_label
_atom_site_fract_x
_atom_site_fract_y
_atom_site_fract_z
Nd1 0.000 0.000 0.000
Nd2 0.118 0.157 0.346
C1 0.000 0.172 0.664
Se1 0.202 0.000 0.000
```

=====

Record 5
Below is Ir4PtRh2 after structural relaxation, with properties calculated at the GGA-PBE level.

Output
ΔH_f (0 K): 0.456 eV per atom
Electronic total energy: -212.0 eV per cell
N(E_F): 43.5 states/eV per cell

CIF file:
```
data_Ir4PtRh2
_chemical_formula_sum 'Ir16 Pt4 Rh8'
_symmetry_space_group_name_H-M 'I 4/m c m'
_symmetry_Int_Tables_number 140
_symmetry_space_group_name_Hall '-I 4 2c'
_cell_length_a 7.527
_cell_length_b 7.527
_cell_length_c 8.187
_cell_angle_alpha 90.00
_cell_angle_beta 90.00
_cell_angle_gamma 90.00
loop_
_atom_site_label
_atom_site_fract_x
_atom_site_fract_y
_atom_site_fract_z
Ir1 0.149 0.351 0.167
Pt1 0.000 0.000 0.250
Rh1 0.147 0.353 0.500
```

=====

Record 6
Below is LiErMg after structural relaxation, with properties calculated at the GGA-PBE level.

Output
ΔH_f (0 K): 0.084 eV per atom
Electronic total energy: -7.8 eV per cell
N(E_F): 2.6 states/eV per cell

CIF file:
```
data_LiErMg
_chemical_formula_sum 'Li1 Er1 Mg1'
_symmetry_space_group_name_H-M 'P 3 m 1'
_symmetry_Int_Tables_number 156
_cell_length_a 3.3383
_cell_length_b 3.3383
_cell_length_c 7.8606
_cell_angle_alpha 90.00
_cell_angle_beta 90.00
_cell_angle_gamma 120.00
loop_
_symmetry_equiv_pos_as_xyz
'x,y,z'
'-y,x-y,z'
'-x+y,-x,z'
'-y,-x,z'
'-x+y,y,z'
'x,x-y,z'
loop_
_atom_site_label
_atom_site_fract_x
_atom_site_fract_y
_atom_site_fract_z
Li1 0.0000 0.0000 0.0000
Er1 0.3333 0.6667 0.6526
Mg1 0.6667 0.3333 0.3062
```